No. 1
The following is a PBE calculation of crystalline Ag3Bi2Au2 at its relaxed geometry, from Alexandria via LeMat-Bulk.

Structure (POSCAR):
```
Ag3Bi2Au2
1.0
5.2154 -2.2055 0.0000
5.2154 2.2055 0.0000
-2.6185 0.0000 6.7371
Ag Bi Au
3 2 2
Cartesian
0.0000 0.0000 0.0000
0.0836 0.0000 2.9196
7.7288 0.0000 3.8175
3.1848 0.0000 1.6314
4.6276 0.0000 5.1057
1.4686 0.0000 5.4038
6.3438 0.0000 1.3333
```

Computed properties:
Magnetization, Bohr magnetons per cell: 0.00
Symmetry: C2/m, No. 12
Formation energy from the elements, meV/atom: 25
Crystal system: monoclinic


No. 2
The following is a PBE calculation of crystalline AgBiAu4 at its relaxed geometry, from Alexandria via LeMat-Bulk.

Structure (POSCAR):
```
AgBiAu4
1.0
0.0000 3.9653 3.9653
3.9653 0.0000 3.9653
3.9653 3.9653 0.0000
Ag Bi Au
1 1 4
Cartesian
0.0000 0.0000 0.0000
1.9826 1.9826 1.9826
4.9594 2.9711 2.9711
2.9711 4.9594 2.9711
2.9711 2.9711 4.9594
4.9594 4.9594 4.9594
```

Computed properties:
Magnetization, Bohr magnetons per cell: 0.00
Symmetry: F-43m, No. 216
Formation energy from the elements, meV/atom: 36
Crystal system: cubic


No. 3
The following is a PBE calculation of crystalline Ag8BiAu5 at its relaxed geometry, from Alexandria via LeMat-Bulk.

Structure (POSCAR):
```
Ag8BiAu5
1.0
-4.0486 4.0486 4.2536
4.0486 -4.0486 4.2536
4.0486 4.0486 -4.2536
Ag Bi Au
8 1 5
Cartesian
3.4879 1.3493 -0.7875
1.3010 -0.8207 1.9998
2.7476 4.8693 -2.2538
2.6993 -0.5607 5.0412
3.2279 2.7476 2.2538
1.3493 4.6093 0.7875
0.5607 2.6993 3.4661
0.8207 1.3010 6.5075
4.0486 0.0000 2.1268
6.3496 1.0459 -0.7319
1.0459 1.7476 0.7319
0.0000 0.0000 4.2536
-2.3010 3.0027 3.5217
3.0027 2.3010 4.9856
```

Computed properties:
Magnetization, Bohr magnetons per cell: 0.00
Symmetry: I-4, No. 82
Formation energy from the elements, meV/atom: 80
Crystal system: tetragonal


No. 4
The following is a PBE calculation of crystalline Ag4Bi3Au2 at its relaxed geometry, from Alexandria via LeMat-Bulk.

Structure (POSCAR):
```
Ag4Bi3Au2
1.0
4.6464 0.0000 0.0000
-2.3186 5.3286 0.0000
-0.0600 -2.1004 8.3430
Ag Bi Au
4 3 2
Cartesian
-0.0191 0.4319 1.4051
-0.0251 2.3276 3.7212
2.2929 0.9006 4.6218
2.2869 2.7963 6.9379
-0.0300 -1.0502 4.1715
-0.0061 3.7943 0.9469
2.2739 -0.5661 7.3961
-0.0311 1.1702 6.3845
2.2989 2.0580 1.9585
```

Computed properties:
Magnetization, Bohr magnetons per cell: 0.00
Symmetry: P-1, No. 2
Formation energy from the elements, meV/atom: 52
Crystal system: triclinic


No. 5
The following is a PBE calculation of crystalline Ag2BiAu2 at its relaxed geometry, from Alexandria via LeMat-Bulk.

Structure (POSCAR):
```
Ag2BiAu2
1.0
8.1250 0.0000 0.0000
0.0000 8.1250 0.0000
0.0000 0.0000 3.1323
Ag Bi Au
4 2 4
Cartesian
1.0141 3.0483 0.0000
3.0483 7.1108 0.0000
5.0766 1.0141 0.0000
7.1108 5.0766 0.0000
0.0000 0.0000 0.0000
4.0625 4.0625 0.0000
1.3858 5.4483 1.5661
2.6767 1.3858 1.5661
5.4483 6.7391 1.5661
6.7391 2.6767 1.5661
```

Computed properties:
Magnetization, Bohr magnetons per cell: 0.00
Symmetry: P4/mbm, No. 127
Formation energy from the elements, meV/atom: 23
Energy relative to the lowest polymorph listed for this composition, kcal/mol of atoms: 0.35
Crystal system: tetragonal


No. 6
The following is a PBE calculation of crystalline Ag2BiAu8 at its relaxed geometry, from Alexandria via LeMat-Bulk.

Structure (POSCAR):
```
Ag2BiAu8
1.0
7.2113 -2.8669 0.0000
7.2113 2.8669 0.0000
-0.4796 0.0000 5.3084
Ag Bi Au
2 1 8
Cartesian
2.0702 0.0000 1.5854
11.8727 0.0000 3.7230
7.2113 0.0000 0.0000
4.6777 1.4563 0.9394
6.9715 1.4733 2.6542
4.3981 0.0000 3.4341
9.2652 1.4563 4.3690
4.6777 -1.4563 0.9394
9.5448 0.0000 1.8743
6.9715 -1.4733 2.6542
9.2652 -1.4563 4.3690
```

Computed properties:
Magnetization, Bohr magnetons per cell: 0.00
Symmetry: C2/m, No. 12
Formation energy from the elements, meV/atom: 25
Crystal system: monoclinic


No. 7
The following is a PBE calculation of crystalline Ag2BiAu2 at its relaxed geometry, from Alexandria via LeMat-Bulk.

Structure (POSCAR):
```
Ag2BiAu2
1.0
4.7333 -2.1811 0.0000
4.7333 2.1811 0.0000
-4.4728 0.0000 4.9395
Ag Bi Au
2 1 2
Cartesian
1.3926 0.0000 0.5126
3.6012 0.0000 4.4269
-2.2364 0.0000 2.4697
0.6733 0.0000 3.5640
4.3205 0.0000 1.3755
```

Computed properties:
Magnetization, Bohr magnetons per cell: 0.00
Symmetry: C2/m, No. 12
Formation energy from the elements, meV/atom: 15
Energy relative to the lowest polymorph listed for this composition, kcal/mol of atoms: 0.18
Crystal system: monoclinic


No. 8
The following is a PBE calculation of crystalline Ag2BiAu at its relaxed geometry, from Alexandria via LeMat-Bulk.

Structure (POSCAR):
```
Ag2BiAu
1.0
3.4121 0.0000 0.0000
0.0000 3.4121 0.0000
0.0000 0.0000 7.3367
Ag Bi Au
2 1 1
Cartesian
0.0000 0.0000 1.5597
0.0000 0.0000 5.7770
1.7061 1.7061 3.6684
1.7061 1.7061 0.0000
```

Computed properties:
Magnetization, Bohr magnetons per cell: 0.00
Symmetry: P4/mmm, No. 123
Formation energy from the elements, meV/atom: 54
Crystal system: tetragonal


No. 9
The following is a PBE calculation of crystalline Ag2BiAu at its relaxed geometry, from Alexandria via LeMat-Bulk.

Structure (POSCAR):
```
Ag2BiAu
1.0
4.3706 0.0000 0.0000
0.0000 4.3706 0.0000
0.0000 0.0000 4.4072
Ag Bi Au
2 1 1
Cartesian
0.0000 2.1853 0.0000
2.1853 0.0000 0.0000
0.0000 0.0000 2.2036
2.1853 2.1853 2.2036
```

Computed properties:
Magnetization, Bohr magnetons per cell: 0.00
Symmetry: P4/mmm, No. 123
Formation energy from the elements, meV/atom: 44
Crystal system: tetragonal


No. 10
The following is a PBE calculation of crystalline Ag2BiAu at its relaxed geometry, from Alexandria via LeMat-Bulk.

Structure (POSCAR):
```
Ag2BiAu
1.0
-3.9719 3.9719 2.9055
3.9719 -3.9719 2.9055
3.9719 3.9719 -2.9055
Ag Bi Au
4 2 2
Cartesian
5.9578 1.8390 -0.7264
1.8390 1.9859 0.7264
-1.9859 2.1329 2.1791
2.1329 1.9859 3.6319
3.9719 0.0000 1.4528
0.0000 0.0000 2.9055
0.0000 0.0000 0.0000
0.0000 3.9719 1.4528
```

Computed properties:
Magnetization, Bohr magnetons per cell: 0.00
Symmetry: I-42d, No. 122
Formation energy from the elements, meV/atom: 166
Crystal system: tetragonal


No. 11
The following is a PBE calculation of crystalline AgBiAu2 at its relaxed geometry, from Alexandria via LeMat-Bulk.

Structure (POSCAR):
```
AgBiAu2
1.0
4.4077 0.0000 0.0000
0.0000 4.4077 0.0000
0.0000 0.0000 4.3242
Ag Bi Au
1 1 2
Cartesian
0.0000 0.0000 0.0000
2.2039 2.2039 0.0000
0.0000 2.2039 2.1621
2.2039 0.0000 2.1621
```

Computed properties:
Magnetization, Bohr magnetons per cell: 0.00
Symmetry: P4/mmm, No. 123
Formation energy from the elements, meV/atom: 39
Crystal system: tetragonal


No. 12
The following is a PBE calculation of crystalline Ag7BiAu5 at its relaxed geometry, from Alexandria via LeMat-Bulk.

Structure (POSCAR):
```
Ag7BiAu5
1.0
5.4851 -4.8685 0.0000
5.4851 4.8685 0.0000
-2.6186 0.0000 4.8096
Ag Bi Au
7 1 5
Cartesian
0.0000 0.0000 0.0000
1.7681 1.9387 3.8972
1.7681 -1.9387 3.8972
6.2278 0.0000 0.2203
8.4125 1.4099 1.7335
5.9522 0.0000 3.3555
8.4125 -1.4099 1.7335
3.1173 0.0000 1.4560
-0.1504 0.0000 2.8768
5.5208 2.2964 1.6831
4.4987 2.5549 4.2483
5.5208 -2.2964 1.6831
4.4987 -2.5549 4.2483
```

Computed properties:
Magnetization, Bohr magnetons per cell: 0.00
Symmetry: Cm, No. 8
Formation energy from the elements, meV/atom: 33
Crystal system: monoclinic


No. 13
The following is a PBE calculation of crystalline AgBi2Au2 at its relaxed geometry, from Alexandria via LeMat-Bulk.

Structure (POSCAR):
```
AgBi2Au2
1.0
-1.9271 1.9271 8.3971
1.9271 -1.9271 8.3971
1.9271 1.9271 -8.3971
Ag Bi Au
1 2 2
Cartesian
0.0000 0.0000 0.0000
0.0000 0.0000 6.6440
0.0000 0.0000 10.1502
1.9271 0.0000 4.1985
0.0000 1.9271 4.1985
```

Computed properties:
Magnetization, Bohr magnetons per cell: 0.00
Symmetry: I4/mmm, No. 139
Formation energy from the elements, meV/atom: 118
Energy relative to the lowest polymorph listed for this composition, kcal/mol of atoms: 2.29
Crystal system: tetragonal


No. 14
The following is a PBE calculation of crystalline AgBi2Au2 at its relaxed geometry, from Alexandria via LeMat-Bulk.

Structure (POSCAR):
```
AgBi2Au2
1.0
-2.3422 2.3422 6.2357
2.3422 -2.3422 6.2357
2.3422 2.3422 -6.2357
Ag Bi Au
1 2 2
Cartesian
0.0000 0.0000 0.0000
2.3422 0.0000 3.1179
0.0000 2.3422 3.1179
0.0000 0.0000 4.9220
0.0000 0.0000 7.5494
```

Computed properties:
Magnetization, Bohr magnetons per cell: 0.00
Symmetry: I4/mmm, No. 139
Formation energy from the elements, meV/atom: 283
Energy relative to the lowest polymorph listed for this composition, kcal/mol of atoms: 6.08
Crystal system: tetragonal


No. 15
The following is a PBE calculation of crystalline Ag2Bi3Au3 at its relaxed geometry, from Alexandria via LeMat-Bulk.

Structure (POSCAR):
```
Ag2Bi3Au3
1.0
8.5677 0.0000 0.0000
-4.2838 7.4198 0.0000
0.0000 0.0000 5.8137
Ag Bi Au
4 6 6
Cartesian
0.0000 4.9466 0.0000
0.0000 4.9466 2.9068
4.2838 2.4733 0.0000
4.2838 2.4733 2.9068
-1.0930 1.8931 1.4534
-3.1908 5.5267 4.3603
2.1860 0.0000 1.4534
1.0930 1.8931 4.3603
6.3817 0.0000 4.3603
3.1908 5.5267 1.4534
-1.7407 3.0150 4.3603
-2.5431 4.4048 1.4534
3.4815 0.0000 4.3603
1.7407 3.0150 1.4534
5.0862 0.0000 1.4534
2.5431 4.4048 4.3603
```

Computed properties:
Magnetization, Bohr magnetons per cell: 0.00
Symmetry: P6_3/mcm, No. 193
Formation energy from the elements, meV/atom: -6
Crystal system: hexagonal


No. 16
The following is a PBE calculation of crystalline Ag2BiAu at its relaxed geometry, from Alexandria via LeMat-Bulk.

Structure (POSCAR):
```
Ag2BiAu
1.0
3.4239 0.0000 0.0000
0.0000 9.0066 0.0000
-1.6628 0.0000 5.5879
Ag Bi Au
4 2 2
Cartesian
0.0231 0.2094 1.5087
0.0231 4.2939 1.5087
1.7380 4.7127 4.0792
1.7380 8.7972 4.0792
0.0317 2.2517 5.1971
1.7295 6.7550 0.3908
0.0184 6.7550 2.9852
1.7427 2.2517 2.6027
```

Computed properties:
Magnetization, Bohr magnetons per cell: 0.00
Symmetry: P2_1/m, No. 11
Formation energy from the elements, meV/atom: 39
Crystal system: monoclinic


No. 17
The following is a PBE calculation of crystalline Ag2BiAu2 at its relaxed geometry, from Alexandria via LeMat-Bulk.

Structure (POSCAR):
```
Ag2BiAu2
1.0
-1.9563 1.9563 7.1424
1.9563 -1.9563 7.1424
1.9563 1.9563 -7.1424
Ag Bi Au
2 1 2
Cartesian
0.0000 0.0000 1.4380
0.0000 0.0000 12.8467
0.0000 0.0000 7.1424
1.9563 0.0000 3.5712
0.0000 1.9563 3.5712
```

Computed properties:
Magnetization, Bohr magnetons per cell: 0.00
Symmetry: I4/mmm, No. 139
Formation energy from the elements, meV/atom: 113
Energy relative to the lowest polymorph listed for this composition, kcal/mol of atoms: 2.44
Crystal system: tetragonal


No. 18
The following is a PBE calculation of crystalline AgBiAu2 at its relaxed geometry, from Alexandria via LeMat-Bulk.

Structure (POSCAR):
```
AgBiAu2
1.0
-3.9924 3.9924 2.8414
3.9924 -3.9924 2.8414
3.9924 3.9924 -2.8414
Ag Bi Au
2 2 4
Cartesian
0.0000 0.0000 0.0000
0.0000 3.9924 1.4207
3.9924 0.0000 1.4207
0.0000 0.0000 2.8414
5.9885 1.9130 -0.7104
1.9130 1.9962 0.7104
-1.9962 2.0793 2.1311
2.0793 1.9962 3.5518
```

Computed properties:
Magnetization, Bohr magnetons per cell: 0.00
Symmetry: I-42d, No. 122
Formation energy from the elements, meV/atom: 114
Crystal system: tetragonal


No. 19
The following is a PBE calculation of crystalline Ag5BiAu4 at its relaxed geometry, from Alexandria via LeMat-Bulk.

Structure (POSCAR):
```
Ag5BiAu4
1.0
3.4715 0.0000 0.0000
0.0000 3.4715 0.0000
0.0000 0.0000 16.0737
Ag Bi Au
5 1 4
Cartesian
0.0000 0.0000 0.0000
0.0000 0.0000 3.0033
0.0000 0.0000 6.0101
0.0000 0.0000 10.0637
0.0000 0.0000 13.0705
1.7357 1.7357 8.0369
1.7357 1.7357 1.4923
1.7357 1.7357 4.5083
1.7357 1.7357 11.5654
1.7357 1.7357 14.5815
```

Computed properties:
Magnetization, Bohr magnetons per cell: 0.00
Symmetry: P4/mmm, No. 123
Formation energy from the elements, meV/atom: 15
Crystal system: tetragonal


No. 20
The following is a PBE calculation of crystalline AgBi2Au2 at its relaxed geometry, from Alexandria via LeMat-Bulk.

Structure (POSCAR):
```
AgBi2Au2
1.0
5.7145 -2.1967 0.0000
5.7145 2.1967 0.0000
-4.9672 0.0000 9.4834
Ag Bi Au
2 4 4
Cartesian
0.6441 0.0000 3.0695
5.8176 0.0000 6.4139
-0.9522 0.0000 8.3497
4.0299 0.0000 3.1109
2.4319 0.0000 6.3725
7.4139 0.0000 1.1337
-3.8404 0.0000 8.6296
-1.1759 0.0000 5.2734
7.6377 0.0000 4.2100
10.3022 0.0000 0.8538
```

Computed properties:
Magnetization, Bohr magnetons per cell: 0.00
Symmetry: C2/m, No. 12
Formation energy from the elements, meV/atom: 21
Energy relative to the lowest polymorph listed for this composition, kcal/mol of atoms: 0.03
Crystal system: monoclinic